(1)
A geometry-optimized ReBRu2F structure. Source: Alexandria via LeMat-Bulk, functional PBE.

Cell lengths 4.7104, 3.8133, 4.7104 Å; angles 90.00, 90.00, 90.00 degrees
Positions (direct):
Re  0.0000  0.0000  0.0000
B  0.5000  0.5000  0.5000
F  0.0000  0.5000  0.0000
Ru  0.0000  0.0000  0.5000
Ru  0.5000  0.0000  0.0000

The calculation puts the density of states at the Fermi level at 5.8 states/eV per cell. As for the uncorrected formation energy: 1.543 eV/atom. As for the electronic total energy: -6.366 eV/atom. Its space-group type is P4/mmm (123).

=====

(2)
A geometry-optimized ReBRuF2 structure. Source: Alexandria via LeMat-Bulk, functional PBE.

Cell lengths 3.7223, 5.1748, 3.7223 Å; angles 90.00, 90.00, 90.00 degrees
Positions (direct):
Re  0.0000  0.5000  0.0000
B  0.5000  0.5000  0.5000
F  0.0000  0.0000  0.5000
F  0.5000  0.0000  0.0000
Ru  0.0000  0.0000  0.0000

The calculation puts the density of states at the Fermi level at 4.2 states/eV per cell. As for the uncorrected formation energy: 0.563 eV/atom. As for the electronic total energy: -5.866 eV/atom. Its space-group type is P4/mmm (123).

=====

(3)
A geometry-optimized ScReBF2 structure. Source: Alexandria via LeMat-Bulk, functional PBE.

Cell lengths 3.7429, 5.6308, 3.7429 Å; angles 90.00, 90.00, 90.00 degrees
Each line ends with the local moment (μB).
Positions (direct):
Sc  0.0000  0.0000  0.0000  -0.02
Re  0.5000  0.5000  0.5000  2.64
B  0.0000  0.5000  0.0000  -0.18
F  0.0000  0.0000  0.5000  0.01
F  0.5000  0.0000  0.0000  0.02

The calculation puts the density of states at the Fermi level at 2.1 states/eV per cell. As for the uncorrected formation energy: -0.729 eV/atom. As for the electronic total energy: -6.569 eV/atom. Its space-group type is P4/mmm (123).

=====

(4)
A geometry-optimized TaReBF2 structure. Source: Alexandria via LeMat-Bulk, functional PBE.

Cell lengths 3.5993, 5.3456, 3.5993 Å; angles 90.00, 90.00, 90.00 degrees
Each line ends with the local moment (μB).
Positions (direct):
Re  0.5000  0.5000  0.5000  1.01
B  0.0000  0.0000  0.0000  0.00
F  0.0000  0.0000  0.5000  0.00
F  0.5000  0.0000  0.0000  0.01
Ta  0.0000  0.5000  0.0000  -0.17

The calculation puts the density of states at the Fermi level at 1.6 states/eV per cell. As for the uncorrected formation energy: 0.474 eV/atom. As for the electronic total energy: -6.470 eV/atom. Its space-group type is P4/mmm (123).

=====

(5)
A geometry-optimized TiRe2BF structure. Source: Alexandria via LeMat-Bulk, functional PBE.

Cell lengths 4.0710, 4.0814, 4.0710 Å; angles 90.00, 90.00, 90.00 degrees
Positions (direct):
Re  0.0000  0.0000  0.5000
Re  0.5000  0.0000  0.0000
B  0.0000  0.5000  0.0000
F  0.0000  0.0000  0.0000
Ti  0.5000  0.5000  0.5000

The calculation puts the density of states at the Fermi level at 4.6 states/eV per cell. As for the uncorrected formation energy: 1.125 eV/atom. As for the electronic total energy: -7.143 eV/atom. Its space-group type is P4/mmm (123).